Entry from Alexandria: an optimized crystal structure of CsMg2InCl8 (PBE).

Calculated values
Uncorrected formation energy ... -1566 meV/atom
ρ ... 2.729 g/cm3
Raw total energy ... -3.36 eV/atom
Crystal system ... triclinic

a = 6.5134 Å, b = 6.5403 Å, c = 9.2806 Å
α = 73.07°, β = 73.70°, γ = 72.75°
Space group P-1 (No. 2)
One atom of each set of equivalent atoms:
Cs: 0.0000 0.0000 0.0000
Mg: 0.4496 0.4487 0.2209
In: 0.0000 0.0000 0.5000
Cl: 0.1896 0.7110 0.7136
Cl: 0.2508 0.2430 0.4645
Cl: 0.2827 0.8031 0.2928
Cl: 0.3534 0.3268 0.0334